1.
A plane-wave DFT calculation with PBE was carried out for Ca2NiAs3Pd4 after structural relaxation.

Values from the calculation:
The value obtained for the total energy is -0.374 Ry per atom. The total magnetization is 0.003 μB/f.u.

Cell: 4.261 4.261 10.346 Å, 90.00 90.00 90.00°
Fractional positions:
Ni 0.500 0.500 0.500
Ca 0.500 0.000 0.257
Ca 0.000 0.500 0.743
Pd 0.500 0.000 0.630
Pd 0.500 0.500 0.000
Pd 0.000 0.000 0.000
Pd 0.000 0.500 0.370
As 0.500 0.000 0.865
As 0.000 0.000 0.500
As 0.000 0.500 0.135



2.
A plane-wave DFT calculation with PBE was carried out for Ca2NiAs4Pd3 after structural relaxation.

Values from the calculation:
The value obtained for the total energy is -0.374 Ry per atom. The total magnetization is 0.000 μB/f.u.

Cell: 4.241 4.241 10.544 Å, 90.00 90.00 90.00°
Fractional positions:
As 0.000 0.500 0.373
As 0.500 0.000 0.627
As 0.000 0.000 0.000
As 0.500 0.500 0.000
Pd 0.000 0.000 0.500
Pd 0.000 0.500 0.139
Pd 0.500 0.000 0.861
Ni 0.500 0.500 0.500
Ca 0.000 0.500 0.739
Ca 0.500 0.000 0.261



3.
A plane-wave DFT calculation with PBE was carried out for Ca3NiAs2Pd9 after structural relaxation.

Values from the calculation:
The value obtained for the total energy is -0.360 Ry per atom. The total magnetization is 0.003 μB/f.u.

Cell: 6.472 6.472 8.747 Å, 90.00 90.00 120.00°
Fractional positions:
Pd 0.500 0.000 0.000
Pd 0.860 0.140 0.720
Pd 0.140 0.280 0.280
Pd 0.280 0.140 0.720
Pd 0.000 0.500 0.000
Pd 0.720 0.860 0.280
Pd 0.860 0.720 0.720
Pd 0.500 0.500 0.000
Pd 0.140 0.860 0.280
Ni 0.000 0.000 0.500
As 0.333 0.667 0.184
As 0.667 0.333 0.816
Ca 0.667 0.333 0.324
Ca 0.000 0.000 0.000
Ca 0.333 0.667 0.676



4.
A plane-wave DFT calculation with PBE was carried out for CaNiAs2Pd after structural relaxation.

Values from the calculation:
The value obtained for the total energy is -0.376 Ry per atom. The total magnetization is 0.000 μB/f.u.

Cell: 4.225 4.225 5.914 Å, 110.93 110.93 90.00°
Fractional positions:
Pd 0.750 0.250 0.500
Ca 0.000 0.000 0.000
As 0.376 0.376 0.751
As 0.624 0.624 0.249
Ni 0.250 0.750 0.500



5.
A plane-wave DFT calculation with PBE was carried out for CaPmNiAs after structural relaxation.

Values from the calculation:
The value obtained for the total energy is -0.359 Ry per atom. The total magnetization is 0.000 μB/f.u.

Cell: 5.008 5.008 5.008 Å, 60.00 60.00 60.00°
Fractional positions:
Ca 0.250 0.250 0.250
As 0.000 0.000 0.000
Pm 0.750 0.750 0.750
Ni 0.500 0.500 0.500



6.
A plane-wave DFT calculation with PBE was carried out for Ca2Ni4As3Pt after structural relaxation.

Values from the calculation:
The value obtained for the total energy is -0.391 Ry per atom. The total magnetization is 0.000 μB/f.u.

Cell: 4.098 4.098 9.893 Å, 90.00 90.00 90.00°
Fractional positions:
Ni 0.000 0.500 0.359
Ni 0.500 0.000 0.641
Ni 0.500 0.500 0.000
Ni 0.000 0.000 0.000
As 0.500 0.000 0.874
As 0.000 0.000 0.500
As 0.000 0.500 0.126
Pt 0.500 0.500 0.500
Ca 0.000 0.500 0.750
Ca 0.500 0.000 0.250



7.
A plane-wave DFT calculation with PBE was carried out for Ca2Ni3As4Pt after structural relaxation.

Values from the calculation:
The value obtained for the total energy is -0.388 Ry per atom. The total magnetization is 0.000 μB/f.u.

Cell: 4.239 4.239 9.648 Å, 90.00 90.00 90.00°
Fractional positions:
Ca 0.000 0.500 0.753
Ca 0.500 0.000 0.247
As 0.000 0.000 0.000
As 0.500 0.000 0.641
As 0.500 0.500 0.000
As 0.000 0.500 0.359
Ni 0.500 0.000 0.883
Ni 0.000 0.500 0.117
Ni 0.000 0.000 0.500
Pt 0.500 0.500 0.500



8.
A plane-wave DFT calculation with PBE was carried out for Ca2NiAs3Pt4 after structural relaxation.

Values from the calculation:
The value obtained for the total energy is -0.401 Ry per atom. The total magnetization is 0.340 μB/f.u.

Cell: 4.375 4.375 9.925 Å, 90.00 90.00 90.00°
Site moments in Bohr magnetons follow the coordinates.
Fractional positions:
Pt 0.500 0.500 0.000  0.00
Pt 0.500 0.000 0.623  0.03
Pt 0.000 0.500 0.377  0.03
Pt 0.000 0.000 0.000  0.00
As 0.000 0.500 0.133  0.00
As 0.500 0.000 0.867  0.00
As 0.000 0.000 0.500  0.00
Ca 0.000 0.500 0.741  0.00
Ca 0.500 0.000 0.259  0.00
Ni 0.500 0.500 0.500  0.29



9.
A plane-wave DFT calculation with PBE was carried out for CaNiAs2Rh after structural relaxation.

Values from the calculation:
The value obtained for the total energy is -0.410 Ry per atom. The total magnetization is 0.000 μB/f.u.

Cell: 4.188 4.188 5.909 Å, 110.75 110.75 90.00°
Fractional positions:
Ca 0.000 0.000 0.000
Ni 0.250 0.750 0.500
Rh 0.750 0.250 0.500
As 0.371 0.371 0.741
As 0.629 0.629 0.259



10.
A plane-wave DFT calculation with PBE was carried out for Ca2Ni4As3Rh after structural relaxation.

Values from the calculation:
The value obtained for the total energy is -0.398 Ry per atom. The total magnetization is 0.000 μB/f.u.

Cell: 4.025 4.025 10.066 Å, 90.00 90.00 90.00°
Fractional positions:
Ni 0.000 0.500 0.359
Ni 0.000 0.000 0.000
Ni 0.500 0.000 0.641
Ni 0.500 0.500 0.000
As 0.000 0.000 0.500
As 0.000 0.500 0.130
As 0.500 0.000 0.870
Ca 0.500 0.000 0.249
Ca 0.000 0.500 0.751
Rh 0.500 0.500 0.500



11.
A plane-wave DFT calculation with PBE was carried out for CaNiAs2Ru after structural relaxation.

Values from the calculation:
The value obtained for the total energy is -0.431 Ry per atom. The total magnetization is 0.000 μB/f.u.

Cell: 3.955 3.955 6.472 Å, 107.79 107.79 90.00°
Fractional positions:
Ru 0.250 0.750 0.500
Ni 0.750 0.250 0.500
As 0.631 0.631 0.262
As 0.369 0.369 0.738
Ca 0.000 0.000 0.000



12.
A plane-wave DFT calculation with PBE was carried out for Ca2Ni3As4Ru after structural relaxation.

Values from the calculation:
The value obtained for the total energy is -0.409 Ry per atom. The total magnetization is 0.000 μB/f.u.

Cell: 4.143 4.143 9.845 Å, 90.00 90.00 90.00°
Fractional positions:
Ca 0.500 0.000 0.244
Ca 0.000 0.500 0.756
Ni 0.000 0.500 0.123
Ni 0.500 0.000 0.877
Ni 0.000 0.000 0.500
As 0.500 0.500 0.000
As 0.500 0.000 0.638
As 0.000 0.500 0.362
As 0.000 0.000 0.000
Ru 0.500 0.500 0.500



Number 7 is which compound? Ca2Ni3As4Pt